RbTcAu: relaxed, GGA-PBE.

Output
Energy above the most stable polymorph in this dataset, kJ/mol of atoms: 21.8
Calculated total energy, eV per cell: -41.7
Mass density, g/cm³: 6.8

```
12
Lattice="7.1993 0.0000 0.0000 0.0000 7.1993 0.0000 0.0000 0.0000 7.1993" Properties=species:S:1:pos:R:3 pbc="T T T"
Rb 0.0000 0.0000 0.0000
Rb 0.0000 3.5997 3.5997
Rb 3.5997 0.0000 3.5997
Rb 3.5997 3.5997 0.0000
Tc 0.0000 0.0000 3.5997
Tc 0.0000 3.5997 0.0000
Tc 3.5997 0.0000 0.0000
Tc 3.5997 3.5997 3.5997
Au 1.7998 1.7998 1.7998
Au 1.7998 5.3995 5.3995
Au 5.3995 1.7998 5.3995
Au 5.3995 5.3995 1.7998
```